Pm4Ga3Sn: relaxed, GGA-PBE.

a b c (Å): 4.528 4.206 11.344
angles (deg): 90.00 90.00 90.00
Last column: magnetic moment on the atom in μB.
Positions (direct):
Ga: 0.000 0.500 0.574  0.00
Ga: 0.000 0.000 0.427  0.00
Ga: 0.500 0.000 0.915  0.00
Pm: 0.000 0.500 0.855  0.04
Pm: 0.500 0.500 0.368  0.08
Pm: 0.000 0.000 0.146  0.07
Pm: 0.500 0.000 0.638  0.05
Sn: 0.500 0.500 0.076  -0.01

Calculated values
The formation energy comes out at -0.652 eV per atom. The calculation puts the density at 6.977 g/cm³. Its space group is No. 25. The total DFT energy (no corrections) is -37.3 eV per cell.